(1)
# ScIn2PbCl

A geometry-optimized ScIn2PbCl structure (PBE-GGA, Alexandria via LeMat-Bulk).

Cell: 6.257 6.257 5.089 Å, 90.00 90.00 90.00°
Positions (direct):
Sc 0.000 0.000 0.000
In 0.000 0.500 0.500
In 0.500 0.000 0.500
Pb 0.500 0.500 0.000
Cl 0.000 0.000 0.500

Computed properties:
energy relative to the elements, uncorrected	0.128	eV/atom
energy relative to the lowest polymorph listed for this composition	0.0	meV per atom
space-group type	P4/mmm (123)
total moment	0.0	μB/f.u.

***

(2)
# SrGaPtO4

A geometry-optimized SrGaPtO4 structure (PBE-GGA, Alexandria via LeMat-Bulk).

Cell: 5.683 5.683 7.063 Å, 90.00 90.00 112.24°
Positions (direct):
Sr 0.000 0.000 0.000
Sr 0.000 0.000 0.500
Ga 0.378 0.622 0.750
Ga 0.622 0.378 0.250
Pt 0.309 0.691 0.250
Pt 0.691 0.309 0.750
O 0.268 0.291 0.250
O 0.271 0.729 0.527
O 0.271 0.729 0.973
O 0.291 0.268 0.750
O 0.709 0.732 0.250
O 0.729 0.271 0.027
O 0.729 0.271 0.473
O 0.732 0.709 0.750

Computed properties:
energy relative to the elements, uncorrected	-1.339	eV/atom
space-group type	Cmcm (63)
total moment	1.4	μB/f.u.

***

(3)
# LiAlRu

A geometry-optimized LiAlRu structure (PBE-GGA, Alexandria via LeMat-Bulk).

Cell: 6.872 6.669 2.707 Å, 82.72 74.28 23.00°
Positions (direct):
Li 0.000 0.000 0.000
Al 0.319 0.319 0.681
Ru 0.667 0.667 0.333

Computed properties:
formation energy	-41	meV/atom
space-group type	Fmm2 (42)
total moment	0.0	μB/f.u.

***

(4)
# Na4HoNp3Te8

A geometry-optimized Na4HoNp3Te8 structure (PBE-GGA, Alexandria via LeMat-Bulk).

Cell: 9.117 9.117 9.117 Å, 58.80 58.80 58.80°
Positions (direct):
Na 0.000 0.000 0.000
Na 0.000 0.500 0.500
Na 0.500 0.000 0.500
Na 0.500 0.500 0.000
Ho 0.500 0.500 0.500
Np 0.000 0.000 0.500
Np 0.000 0.500 0.000
Np 0.500 0.000 0.000
Te 0.244 0.244 0.244
Te 0.249 0.742 0.742
Te 0.258 0.258 0.751
Te 0.258 0.751 0.258
Te 0.742 0.249 0.742
Te 0.742 0.742 0.249
Te 0.751 0.258 0.258
Te 0.756 0.756 0.756

Computed properties:
energy relative to the elements, uncorrected	-0.931	eV/atom
space-group type	R-3m (166)
total moment	12.0	μB/f.u.